Below is PaAlCuNi after structural relaxation, with properties calculated at the GGA-PBE level.

a = 4.559 Å, b = 4.559 Å, c = 4.559 Å
α = 60.00°, β = 60.00°, γ = 60.00°
Sites, in units of the cell vectors:
Pa 0.000 0.000 0.000
Al 0.500 0.500 0.500
Cu 0.750 0.750 0.750
Ni 0.250 0.250 0.250

Output
Total moment   0.000 μB per atom
V   67 Å³ per cell

Below is Pa2AlCu2Ni5 after structural relaxation, with properties calculated at the GGA-PBE level.

a = 9.211 Å, b = 9.211 Å, c = 3.470 Å
α = 90.00°, β = 90.00°, γ = 90.00°
Sites, in units of the cell vectors:
Pa 0.179 0.321 0.000
Pa 0.321 0.821 0.000
Pa 0.679 0.179 0.000
Pa 0.821 0.679 0.000
Al 0.000 0.000 0.000
Al 0.500 0.500 0.000
Cu 0.121 0.621 0.000
Cu 0.379 0.121 0.000
Cu 0.621 0.879 0.000
Cu 0.879 0.379 0.000
Ni 0.000 0.500 0.500
Ni 0.051 0.798 0.500
Ni 0.202 0.051 0.500
Ni 0.298 0.551 0.500
Ni 0.449 0.298 0.500
Ni 0.500 0.000 0.500
Ni 0.551 0.702 0.500
Ni 0.702 0.449 0.500
Ni 0.798 0.949 0.500
Ni 0.949 0.202 0.500

Output
Total moment   0.000 μB per atom
V   294 Å³ per cell

Below is AlCuNiPd after structural relaxation, with properties calculated at the GGA-PBE level.

a = 4.381 Å, b = 4.381 Å, c = 4.381 Å
α = 127.26°, β = 127.26°, γ = 77.83°
Sites, in units of the cell vectors:
Al 0.000 0.000 0.000
Cu 0.500 0.500 0.000
Ni 0.750 0.250 0.500
Pd 0.250 0.750 0.500

Output
Total moment   0.000 μB per atom
V   52 Å³ per cell
Polymorph energy (0 for the lowest one)   0.0000 eV per atom

Below is AlCuNiPd after structural relaxation, with properties calculated at the GGA-PBE level.

a = 4.183 Å, b = 4.183 Å, c = 4.183 Å
α = 60.00°, β = 60.00°, γ = 60.00°
Sites, in units of the cell vectors:
Al 0.000 0.000 0.000
Cu 0.500 0.500 0.500
Ni 0.250 0.250 0.250
Pd 0.750 0.750 0.750

Output
Total moment   0.000 μB per atom
V   52 Å³ per cell
Polymorph energy (0 for the lowest one)   0.0275 eV per atom

Energy for the records above, in order: -6.07 -6.21 -5.18 -5.15 eV per atom